(1)
This record from the Open Quantum Materials Database describes a relaxed structure of CsErCdTe3. The functional is PBE.

The structure in POSCAR format:
```
CsErCdTe3
1.0
10.074 0.000 0.000
0.000 4.520 0.000
-4.014 0.000 10.348
Cs Er Cd Te
2 2 2 6
direct
0.224 0.250 0.253
0.776 0.750 0.747
0.329 0.750 0.869
0.671 0.250 0.131
0.080 0.250 0.613
0.920 0.750 0.387
0.118 0.250 0.876
0.225 0.750 0.554
0.477 0.750 0.157
0.523 0.250 0.843
0.775 0.250 0.446
0.882 0.750 0.124
```

Values from the calculation:
* crystal system: monoclinic
* symmetry: P2_1/m
* total energy: -3.694 eV/atom



(2)
This record from the Open Quantum Materials Database describes a relaxed structure of CsCdF3. The functional is PBE.

The structure in POSCAR format:
```
CsCdF3
1.0
6.017 0.000 0.000
-3.009 5.211 0.000
0.000 0.000 5.538
Cs Cd F
2 2 6
direct
0.333 0.667 0.250
0.667 0.333 0.750
0.000 0.000 0.000
0.000 0.000 0.500
0.168 0.337 0.750
0.168 0.832 0.750
0.337 0.168 0.250
0.663 0.832 0.750
0.832 0.168 0.250
0.832 0.663 0.250
```

Values from the calculation:
* crystal system: hexagonal
* symmetry: P6_3/mmc
* total energy: -3.772 eV/atom



(3)
This record from the Open Quantum Materials Database describes a relaxed structure of Cs2RbCdF6. The functional is PBE.

The structure in POSCAR format:
```
Cs2RbCdF6
1.0
-3.280 3.280 4.645
3.280 -3.280 4.645
3.280 3.280 -4.645
Cs Rb Cd F
2 1 1 6
direct
0.250 0.750 0.500
0.750 0.250 0.500
0.000 0.000 0.000
0.500 0.500 0.000
0.270 0.270 0.541
0.270 0.730 0.000
0.271 0.271 0.000
0.729 0.729 0.000
0.730 0.270 0.000
0.730 0.730 0.459
```

Values from the calculation:
* crystal system: tetragonal
* symmetry: I4/mmm
* total energy: -3.779 eV/atom



(4)
This record from the Open Quantum Materials Database describes a relaxed structure of Cs2ScCdF6. The functional is PBE.

The structure in POSCAR format:
```
Cs2ScCdF6
1.0
0.000 4.428 4.428
4.428 0.000 4.428
4.428 4.428 0.000
Cs Sc Cd F
2 1 1 6
direct
0.250 0.250 0.250
0.750 0.750 0.750
0.000 0.000 0.000
0.500 0.500 0.500
0.227 0.227 0.773
0.227 0.773 0.227
0.227 0.773 0.773
0.773 0.227 0.227
0.773 0.227 0.773
0.773 0.773 0.227
```

Values from the calculation:
* crystal system: cubic
* symmetry: Fm-3m
* total energy: -4.913 eV/atom



(5)
This record from the Open Quantum Materials Database describes a relaxed structure of CsCdFe. The functional is PBE.

The structure in POSCAR format:
```
CsCdFe
1.0
0.000 3.819 3.819
3.819 0.000 3.819
3.819 3.819 0.000
Cs Cd Fe
1 1 1
direct
0.000 0.000 0.000
0.500 0.500 0.500
0.750 0.750 0.750
```

Values from the calculation:
* crystal system: cubic
* symmetry: F-43m
* total energy: -2.369 eV/atom



(6)
This record from the Open Quantum Materials Database describes a relaxed structure of CsCdFeSe3. The functional is PBE.

The structure in POSCAR format:
```
CsCdFeSe3
1.0
16.181 0.000 0.000
0.000 3.798 0.000
0.000 0.000 11.456
Cs Cd Fe Se
4 4 4 12
direct
0.240 0.250 0.114
0.260 0.750 0.614
0.740 0.250 0.386
0.760 0.750 0.886
0.007 0.750 0.120
0.493 0.250 0.620
0.507 0.750 0.380
0.993 0.250 0.880
0.022 0.250 0.394
0.478 0.750 0.894
0.522 0.250 0.106
0.978 0.750 0.606
0.072 0.250 0.588
0.104 0.750 0.311
0.105 0.750 0.921
0.395 0.250 0.421
0.396 0.250 0.811
0.428 0.750 0.088
0.572 0.250 0.912
0.604 0.750 0.189
0.605 0.750 0.579
0.895 0.250 0.079
0.896 0.250 0.689
0.928 0.750 0.412
```

Values from the calculation:
* crystal system: orthorhombic
* symmetry: Pnma
* total energy: -3.957 eV/atom



(7)
This record from the Open Quantum Materials Database describes a relaxed structure of CsCdFeSe3. The functional is PBE.

The structure in POSCAR format:
```
CsCdFeSe3
1.0
8.517 0.000 0.000
0.000 3.798 0.000
-3.805 0.000 10.658
Cs Cd Fe Se
2 2 2 6
direct
0.012 0.250 0.276
0.988 0.750 0.724
0.477 0.750 0.371
0.523 0.250 0.629
0.448 0.250 0.093
0.552 0.750 0.907
0.278 0.750 0.129
0.295 0.750 0.532
0.361 0.250 0.872
0.639 0.750 0.128
0.705 0.250 0.468
0.722 0.250 0.871
```

Values from the calculation:
* crystal system: monoclinic
* symmetry: P2_1/m
* total energy: -3.958 eV/atom



(8)
This record from the Open Quantum Materials Database describes a relaxed structure of CsCdGa. The functional is PBE.

The structure in POSCAR format:
```
CsCdGa
1.0
0.000 3.961 3.961
3.961 0.000 3.961
3.961 3.961 0.000
Cs Cd Ga
1 1 1
direct
0.000 0.000 0.000
0.500 0.500 0.500
0.750 0.750 0.750
```

Values from the calculation:
* crystal system: cubic
* symmetry: F-43m
* total energy: -1.279 eV/atom